No. 1
Density functional theory data (PBE-GGA) for an optimized crystal structure of Ca2Cu2As.

Structure (POSCAR):
```
Ca2Cu2As
1.0
-2.8535 2.8535 3.5016
2.8535 -2.8535 3.5016
2.8535 2.8535 -3.5016
Ca Cu As
2 2 1
direct
0.2500 0.7500 0.5000
0.7500 0.2500 0.5000
0.1614 0.1614 0.0000
0.8386 0.8386 0.0000
0.5000 0.5000 0.0000
```

Values from the calculation:
electronic total energy	-18.02	eV for the cell shown
N(E_F)	0.701	states/eV per atom
size of the total moment	0.000	μB/f.u.
ΔH_f (0 K)	-234.4	meV/atom



No. 2
Density functional theory data (PBE-GGA) for an optimized crystal structure of Tm5In2IrRu2.

Structure (POSCAR):
```
Tm5In2IrRu2
1.0
11.5758 0.0000 0.0000
0.0000 11.5758 0.0000
0.0000 0.0000 3.4139
Tm In Ir Ru
10 4 2 4
direct
0.0000 0.5000 0.0000
0.0616 0.1962 0.0000
0.1962 0.9384 0.0000
0.3038 0.4384 0.0000
0.4384 0.6962 0.0000
0.5000 0.0000 0.0000
0.5616 0.3038 0.0000
0.6962 0.5616 0.0000
0.8038 0.0616 0.0000
0.9384 0.8038 0.0000
0.1818 0.6818 0.5000
0.3182 0.1818 0.5000
0.6818 0.8182 0.5000
0.8182 0.3182 0.5000
0.0000 0.0000 0.5000
0.5000 0.5000 0.5000
0.1366 0.3634 0.5000
0.3634 0.8634 0.5000
0.6366 0.1366 0.5000
0.8634 0.6366 0.5000
```

Values from the calculation:
electronic total energy	-119.72	eV for the cell shown
N(E_F)	0.634	states/eV per atom
size of the total moment	0.000	μB/f.u.
ΔH_f (0 K)	-461.1	meV/atom



What did the first record say?
Density functional theory data (PBE-GGA) for an optimized crystal structure of Ca2Cu2As.

Structure (POSCAR):
```
Ca2Cu2As
1.0
-2.8535 2.8535 3.5016
2.8535 -2.8535 3.5016
2.8535 2.8535 -3.5016
Ca Cu As
2 2 1
direct
0.2500 0.7500 0.5000
0.7500 0.2500 0.5000
0.1614 0.1614 0.0000
0.8386 0.8386 0.0000
0.5000 0.5000 0.0000
```

Values from the calculation:
electronic total energy	-18.02	eV for the cell shown
N(E_F)	0.701	states/eV per atom
size of the total moment	0.000	μB/f.u.
ΔH_f (0 K)	-234.4	meV/atom